# 1
A plane-wave DFT calculation with PBE-GGA was carried out for Pr2ScSe2S2 after structural relaxation.

Structure (POSCAR):
```
Pr2ScSe2S2
1.0
-2.402 2.402 7.591
2.402 -2.402 7.591
2.402 2.402 -7.591
Pr Sc Se S
2 1 2 2
Cartesian
0.000 0.000 1.950 Pr
0.000 0.000 13.232 Pr
0.000 0.000 7.591 Sc
0.000 0.000 4.872 Se
0.000 0.000 10.310 Se
2.402 0.000 0.000 S
0.000 2.402 0.000 S
```

## Properties
Magnetic moment   0.000 μB per cell
Density of states at the Fermi level   2.9 states/eV/f.u.

---

# 2
A plane-wave DFT calculation with PBE-GGA was carried out for TlZn4F8 after structural relaxation.

Structure (POSCAR):
```
TlZn4F8
1.0
3.208 1.852 6.756
-3.208 1.852 6.756
0.000 -3.705 6.756
Tl Zn F
1 4 8
Cartesian
0.000 0.000 0.000 Tl
-3.208 0.000 10.134 Zn
-1.604 0.926 3.378 Zn
1.604 0.926 3.378 Zn
0.000 0.000 10.134 Zn
0.000 0.000 4.394 F
-1.612 -0.931 11.199 F
0.000 -1.861 9.070 F
-1.612 0.931 9.070 F
1.612 -0.931 11.199 F
0.000 1.861 11.199 F
1.612 0.931 9.070 F
0.000 0.000 15.875 F
```

## Properties
Magnetic moment   0.000 μB per cell
Density of states at the Fermi level   2.4 states/eV/f.u.

---

# 3
A plane-wave DFT calculation with PBE-GGA was carried out for MgScCd2 after structural relaxation.

Structure (POSCAR):
```
MgScCd2
1.0
4.887 -1.616 0.000
4.887 1.616 0.000
-0.988 0.000 5.727
Mg Sc Cd
1 1 2
Cartesian
0.000 0.000 0.000 Mg
4.392 0.000 2.864 Sc
1.694 0.000 4.307 Cd
7.091 0.000 1.420 Cd
```

## Properties
Magnetic moment   0.000 μB per cell
Formation enthalpy at 0 K   -0.1146 eV per atom
Density of states at the Fermi level   2.6 states/eV/f.u.

---

DFT total energy / eV per atom: -6.203, -3.755, -2.554